No. 1
Density functional theory data (PBE) for a geometry-optimized PuSbSe2N structure.

a b c (Å): 3.9575 3.9575 14.5898
angles (deg): 90.00 90.00 90.00
With the nearest neighbours (Å) after each atom.
Sites, in units of the cell vectors:
Pu: 0.5000 0.0000 0.5757  4 N 2.27
Pu: 0.0000 0.5000 0.4243  4 N 2.27
Sb: 0.5000 0.0000 0.1393  5 Se 2.61-2.84
Sb: 0.0000 0.5000 0.8607  5 Se 2.61-2.84
Se: 0.0000 0.5000 0.6819  1 Sb 2.61
Se: 0.0000 0.5000 0.1078  4 Sb 2.84
Se: 0.5000 0.0000 0.8922  4 Sb 2.84
Se: 0.5000 0.0000 0.3181  1 Sb 2.61
N: 0.0000 0.0000 0.5000  4 Pu 2.27
N: 0.5000 0.5000 0.5000  4 Pu 2.27

Computed properties:
- formation energy (no corrections) (eV per atom) = -0.80


No. 2
Density functional theory data (PBE) for a geometry-optimized LaEr5Tl2 structure.

a b c (Å): 3.6618 8.4186 8.4186
angles (deg): 76.07 77.44 77.44
With the nearest neighbours (Å) after each atom.
Sites, in units of the cell vectors:
La: 0.0000 0.0000 0.0000  4 Tl 3.59, 2 La 3.66, 8 Er 3.79
Er: 0.0000 0.5000 0.5000  2 Tl 3.28, 10 Er 3.43-3.66
Er: 0.6346 0.5912 0.1396  3 Tl 3.16-3.36, 5 Er 3.43-3.50
Er: 0.3654 0.4088 0.8604  3 Tl 3.16-3.36, 5 Er 3.43-3.50
Er: 0.3654 0.8604 0.4088  3 Tl 3.16-3.36, 5 Er 3.43-3.50
Er: 0.6346 0.1396 0.5912  3 Tl 3.16-3.36, 5 Er 3.43-3.50
Tl: 0.7426 0.7574 0.7574  7 Er 3.16-3.36
Tl: 0.2574 0.2426 0.2426  7 Er 3.16-3.36

Computed properties:
- formation energy from the elements (eV per atom) = -0.13


No. 3
Density functional theory data (PBE) for a geometry-optimized SrPm3Co structure.

a b c (Å): 5.5308 5.5308 5.5308
angles (deg): 90.00 90.00 90.00
With the nearest neighbours (Å) after each atom.
Sites, in units of the cell vectors:
Sr: 0.5000 0.5000 0.5000  12 Pm 3.91
Co: 0.0000 0.0000 0.0000  6 Pm 2.77
Pm: 0.0000 0.5000 0.0000  2 Co 2.77
Pm: 0.0000 0.0000 0.5000  2 Co 2.77
Pm: 0.5000 0.0000 0.0000  2 Co 2.77

Computed properties:
- formation energy from the elements (eV per atom) = 0.03


No. 4
Density functional theory data (PBE) for a geometry-optimized PrTi2O6 structure.

a b c (Å): 5.4338 5.5534 7.7459
angles (deg): 90.00 90.00 90.00
With the nearest neighbours (Å) after each atom.
Sites, in units of the cell vectors:
Pr: 0.0112 0.6993 0.0000  8 O 2.45-2.66
Pr: 0.5112 0.3007 0.5000  8 O 2.45-2.66
O: 0.0618 0.2422 0.5000  2 Ti 1.96
O: 0.2133 0.9638 0.7841  2 Ti 1.88-1.95
O: 0.2133 0.9638 0.2159  2 Ti 1.88-1.95
O: 0.2665 0.4815 0.2328  2 Ti 1.98-2.06
O: 0.2665 0.4815 0.7672  2 Ti 1.98-2.06
O: 0.4643 0.7393 0.5000  2 Ti 1.96
O: 0.5618 0.7578 0.0000  2 Ti 1.96
O: 0.7133 0.0362 0.7159  2 Ti 1.88-1.95
O: 0.7133 0.0362 0.2841  2 Ti 1.88-1.95
O: 0.7665 0.5185 0.7328  2 Ti 1.98-2.06
O: 0.7665 0.5185 0.2672  2 Ti 1.98-2.06
O: 0.9643 0.2607 0.0000  2 Ti 1.96
Ti: 0.0068 0.2320 0.7498  6 O 1.88-2.06
Ti: 0.0068 0.2320 0.2502  6 O 1.88-2.06
Ti: 0.5068 0.7680 0.2498  6 O 1.88-2.06
Ti: 0.5068 0.7680 0.7502  6 O 1.88-2.06

Computed properties:
- formation energy (no corrections) (eV per atom) = -2.85